# PBE-GGA SiSeI3, optimized geometry
# energy relative to the lowest polymorph listed for this composition = 0.2418 eV/atom
# formation energy (no corrections) = 689 meV per atom
# uncorrected energy = -2.02 eV per atom
# M_tot = 0.183 μB per atom
# crystal system = cubic
data_SiSeI3
_cell_length_a 5.727
_cell_length_b 5.727
_cell_length_c 5.727
_cell_angle_alpha 90.00
_cell_angle_beta 90.00
_cell_angle_gamma 90.00
_symmetry_space_group_name_H-M 'P m -3 m'
_symmetry_Int_Tables_number 221
_symmetry_space_group_name_Hall '-P 4 2 3'
loop_
_atom_site_label
_atom_site_type_symbol
_atom_site_fract_x
_atom_site_fract_y
_atom_site_fract_z
_atom_site_occupancy
Si1 Si 0.000 0.000 0.000 1
Se1 Se 0.500 0.500 0.500 1
I1 I 0.000 0.500 0.500 1